Entry from Alexandria: a relaxed structure of KBeO2 (GGA-PBE).

Results
SG	R-3m (166)
formation energy from raw total energies	-1.290	eV per atom
E_tot	-4.975	eV per atom
size of the total moment	1.00	μB/f.u.
DOS(E_F)	2.24	states/eV/cell

```
KBeO2
1.0
2.045 0.000 6.226
-1.022 1.771 6.226
-1.022 -1.771 6.226
Be K O
1 1 2
Cartesian
0.000 0.000 0.000
0.000 0.000 9.339
0.000 0.000 17.249
0.000 0.000 1.429
```